# Cu2Ag2O3 PBEsol optimized geometry
data_Cu2Ag2O3
_space_group_name_H-M_alt 'I 41/a m d'
_space_group_IT_number 141
_cell_length_a 5.8632
_cell_length_b 5.8632
_cell_length_c 10.5536
_cell_angle_alpha 90.00
_cell_angle_beta 90.00
_cell_angle_gamma 90.00
loop_
_space_group_symop_operation_xyz
'x,y,z'
'-x,-y,-z'
'-y+1/4,x+3/4,z+1/4'
'y+1/4,-x+3/4,-z+1/4'
'-x+1/2,-y,z+1/2'
'x+1/2,y,-z+1/2'
'y+1/4,-x+1/4,z+3/4'
'-y+1/4,x+1/4,-z+3/4'
'x,-y,-z'
'-x,y,z'
'-y+1/4,-x+1/4,-z+3/4'
'y+1/4,x+1/4,z+3/4'
'-x+1/2,y,-z+1/2'
'x+1/2,-y,z+1/2'
'y+1/4,x+3/4,-z+1/4'
'-y+1/4,-x+3/4,z+1/4'
'x+1/2,y+1/2,z+1/2'
'-x+1/2,-y+1/2,-z+1/2'
'-y+3/4,x+1/4,z+3/4'
'y+3/4,-x+1/4,-z+3/4'
'-x,-y+1/2,z'
'x,y+1/2,-z'
'y+3/4,-x+3/4,z+1/4'
'-y+3/4,x+3/4,-z+1/4'
'x+1/2,-y+1/2,-z+1/2'
'-x+1/2,y+1/2,z+1/2'
'-y+3/4,-x+3/4,-z+1/4'
'y+3/4,x+3/4,z+1/4'
'-x,y+1/2,-z'
'x,-y+1/2,z'
'y+3/4,x+1/4,-z+3/4'
'-y+3/4,-x+1/4,z+3/4'
loop_
_atom_site_label
_atom_site_type_symbol
_atom_site_fract_x
_atom_site_fract_y
_atom_site_fract_z
Cu1 Cu 0.0000 0.0000 0.0000
Ag1 Ag 0.0000 0.0000 0.5000
O1 O 0.0000 0.2500 0.1133
O2 O 0.0000 0.2500 0.8750
# energy relative to the elements, uncorrected	-2.4	eV/f.u.

***

# Cu2AgO4 PBEsol optimized geometry
data_Cu2AgO4
_space_group_name_H-M_alt 'P -1'
_space_group_IT_number 2
_cell_length_a 3.7262
_cell_length_b 4.4394
_cell_length_c 5.2189
_cell_angle_alpha 84.21
_cell_angle_beta 87.44
_cell_angle_gamma 84.32
loop_
_space_group_symop_operation_xyz
'x,y,z'
'-x,-y,-z'
loop_
_atom_site_label
_atom_site_type_symbol
_atom_site_fract_x
_atom_site_fract_y
_atom_site_fract_z
Cu1 Cu 0.0000 0.0000 0.0000
Cu2 Cu 0.5000 0.5000 0.0000
Ag1 Ag 0.0000 0.5000 0.5000
O1 O 0.2026 0.7293 0.7724
O2 O 0.2891 0.7526 0.2317
# energy relative to the elements, uncorrected	-2.3	eV/f.u.

***

# CuAgPO4 PBEsol optimized geometry
data_CuAgPO4
_space_group_name_H-M_alt 'P 1 21/c 1'
_space_group_IT_number 14
_cell_length_a 7.8314
_cell_length_b 5.5254
_cell_length_c 7.5714
_cell_angle_alpha 90.00
_cell_angle_beta 97.15
_cell_angle_gamma 90.00
loop_
_space_group_symop_operation_xyz
'x,y,z'
'-x,-y,-z'
'-x,y+1/2,-z+1/2'
'x,-y+1/2,z+1/2'
loop_
_atom_site_label
_atom_site_type_symbol
_atom_site_fract_x
_atom_site_fract_y
_atom_site_fract_z
Cu1 Cu 0.0941 0.1205 0.3614
Ag1 Ag 0.4359 0.1304 0.6956
P1 P 0.2281 0.6201 0.5066
O1 O 0.0689 0.7035 0.9764
O2 O 0.2064 0.0619 0.8470
O3 O 0.2317 0.0131 0.1857
O4 O 0.3967 0.7368 0.0095
# energy relative to the lowest polymorph listed for this composition	0	meV per atom
# energy relative to the elements, uncorrected	-8.9	eV/f.u.

***

# CuAg2P4O12 PBEsol optimized geometry
data_CuAg2P4O12
_space_group_name_H-M_alt 'C 1 2/c 1'
_space_group_IT_number 15
_cell_length_a 9.5484
_cell_length_b 13.1869
_cell_length_c 7.7485
_cell_angle_alpha 90.00
_cell_angle_beta 95.59
_cell_angle_gamma 90.00
loop_
_space_group_symop_operation_xyz
'x,y,z'
'-x,-y,-z'
'-x,y,-z+1/2'
'x,-y,z+1/2'
'x+1/2,y+1/2,z'
'-x+1/2,-y+1/2,-z'
'-x+1/2,y+1/2,-z+1/2'
'x+1/2,-y+1/2,z+1/2'
loop_
_atom_site_label
_atom_site_type_symbol
_atom_site_fract_x
_atom_site_fract_y
_atom_site_fract_z
Cu1 Cu 0.0000 0.1367 0.2500
Ag1 Ag 0.1668 0.3411 0.6775
P1 P 0.1050 0.3484 0.1241
P2 P 0.1341 0.0760 0.6718
O1 O 0.0000 0.1256 0.7500
O2 O 0.0000 0.3994 0.2500
O3 O 0.0552 0.3715 0.9394
O4 O 0.1137 0.0365 0.1471
O5 O 0.1307 0.2387 0.1778
O6 O 0.1665 0.1402 0.5220
O7 O 0.2458 0.4115 0.1682
# energy relative to the elements, uncorrected	-31.1	eV/f.u.

***

no.,electronic total energy (eV/atom)
1,-4.78
2,-5.04
3,-6.20
4,-6.75